Here is a geometry-optimized NaHgS structure from Alexandria via LeMat-Bulk. Energies are from PBE-GGA.

Values from the calculation:
* symmetry: P3m1, No. 156
* formation energy (no corrections): -0.301 eV/atom
* density of states at the Fermi level: 0.49 states/eV per atom

Structure (POSCAR):
```
NaHgS
1.0
4.022 0.000 0.000
0.000 4.697 0.000
0.000 -2.348 4.067
Na S Hg
1 1 1
Direct
0.666 0.667 0.333
0.167 0.333 0.667
0.167 0.000 0.000
```